[1]
Density functional theory data (SCAN) for Ba13Nb14O42 at its PBEsol-relaxed geometry.

Computed properties:
Energy (eV/cell): -1447.71
Calculated density (g cm⁻³): 6.49
Formation energy from raw total energies (eV per atom): -3.01

Cell: 9.1625 10.0312 11.5797 Å, 106.81 108.43 90.03°
Closest atoms and distances in Å follow each position.
Space group P-1 (No. 2)
Symmetry-distinct sites (fractional):
Ba 0.0000 0.0000 0.0000  12 O 2.85-2.90
Ba 0.1406 0.2812 0.8515  12 O 2.85-2.94
Ba 0.1415 0.2823 0.3597  12 O 2.85-2.94
Ba 0.2850 0.5714 0.7138  12 O 2.84-2.90
Ba 0.2861 0.5719 0.2148  12 O 2.84-2.90
Ba 0.4230 0.8593 0.5702  12 O 2.85-2.94
Ba 0.4278 0.8577 0.0717  12 O 2.85-2.90
Nb 0.0704 0.6462 0.4294  6 O 2.03-2.07
Nb 0.0710 0.6429 0.9283  6 O 2.04-2.05
Nb 0.2115 0.9293 0.7822  6 O 2.02-2.07
Nb 0.2125 0.9293 0.2884  6 O 2.02-2.07
Nb 0.3539 0.2119 0.6413  6 O 2.02-2.07
Nb 0.3573 0.2135 0.1428  6 O 2.04-2.05
Nb 0.5000 0.5000 0.0000  6 O 2.05
Nb 0.5000 0.5000 0.5000  6 O 2.05
O 0.0003 0.9998 0.2461  2 Nb 2.03
O 0.0000 0.5000 0.0000  2 Nb 2.05
O 0.0000 0.4999 0.2500  2 Nb 2.04-2.07
O 0.0000 0.5000 0.5000  2 Nb 2.06
O 0.1429 0.2852 0.1071  2 Nb 2.05
O 0.1429 0.7856 0.1072  2 Nb 2.05-2.07
O 0.1426 0.7859 0.8569  2 Nb 2.05-2.07
O 0.1451 0.7819 0.3547  2 Nb 2.03
O 0.1448 0.7822 0.6088  2 Nb 2.02-2.03
O 0.1456 0.2906 0.6091  2 Nb 2.03
O 0.2859 0.0711 0.2143  2 Nb 2.04-2.07
O 0.2856 0.0713 0.9641  2 Nb 2.04-2.07
O 0.2856 0.5711 0.4643  2 Nb 2.05-2.07
O 0.2856 0.5713 0.9640  2 Nb 2.05
O 0.2902 0.0727 0.7178  2 Nb 2.03
O 0.2908 0.0725 0.4638  2 Nb 2.02
O 0.4285 0.8569 0.3212  2 Nb 2.07
O 0.4284 0.8576 0.8214  2 Nb 2.05-2.07
O 0.4285 0.3568 0.0713  2 Nb 2.05
O 0.4286 0.3569 0.3213  2 Nb 2.05
O 0.4290 0.3572 0.5716  2 Nb 2.05-2.07
O 0.4289 0.3571 0.8215  2 Nb 2.05-2.07

***

[2]
Density functional theory data (SCAN) for BaNb2O6 at its PBEsol-relaxed geometry.

Computed properties:
Energy (eV/cell): -339.47
Calculated density (g cm⁻³): 5.42
Formation energy from raw total energies (eV per atom): -2.95

Cell: 10.5485 3.9454 6.1672 Å, 90.00 90.00 90.00°
Closest atoms and distances in Å follow each position.
Space group Pmma (No. 51)
Symmetry-distinct sites (fractional):
Ba 0.2500 0.0000 0.1830  6 O 2.80-2.84
Nb 0.0785 0.5000 0.7142  6 O 1.95-2.08
O 0.0000 0.5000 0.0000  2 Nb 1.95
O 0.0881 0.0000 0.7175  2 Nb 1.98
O 0.1081 0.5000 0.3931  2 Nb 2.00-2.08
O 0.2500 0.5000 0.8517  2 Nb 2.00

***

[3]
Density functional theory data (SCAN) for BaNb2O6 at its PBEsol-relaxed geometry.

Computed properties:
Energy (eV/cell): -340.21
Calculated density (g cm⁻³): 5.53
Formation energy from raw total energies (eV per atom): -2.99

Cell: 6.1320 10.4697 3.9205 Å, 90.00 90.00 90.00°
Closest atoms and distances in Å follow each position.
Space group Pbam (No. 55)
Symmetry-distinct sites (fractional):
Ba 0.0000 0.0000 0.0000  10 O 2.73-2.94
Nb 0.0492 0.3486 0.5000  4 O 1.90-1.98
O 0.0969 0.3481 0.0000  2 Nb 1.98
O 0.1098 0.8070 0.5000  1 Nb 1.90
O 0.1972 0.5399 0.5000  1 Nb 1.91

***

[4]
Density functional theory data (SCAN) for Ba2Nb5O9 at its PBEsol-relaxed geometry.

Computed properties:
Energy (eV/cell): -344.42
Calculated density (g cm⁻³): 6.84
Formation energy from raw total energies (eV per atom): -2.72

Cell: 4.1837 4.1837 12.2540 Å, 90.00 90.00 90.00°
Closest atoms and distances in Å follow each position.
Space group P4/mmm (No. 123)
Symmetry-distinct sites (fractional):
Ba 0.0000 0.0000 0.1687  12 O 2.86-2.96
Nb 0.0000 0.5000 0.5000  4 O 2.09-2.12
Nb 0.5000 0.5000 0.0000  6 O 1.99-2.09
Nb 0.5000 0.5000 0.3363  5 O 2.09-2.13
O 0.0000 0.0000 0.5000  4 Nb 2.09
O 0.0000 0.5000 0.0000  2 Nb 2.09
O 0.0000 0.5000 0.3272  3 Nb 2.09-2.12
O 0.5000 0.5000 0.1622  2 Nb 1.99-2.13

***

[5]
Density functional theory data (SCAN) for Ba3Nb2P4O18 at its PBEsol-relaxed geometry.

Computed properties:
Energy (eV/cell): -417.42
Calculated density (g cm⁻³): 4.08
Formation energy from raw total energies (eV per atom): -2.92

Cell: 4.9705 8.9660 9.5326 Å, 86.89 80.24 78.90°
Closest atoms and distances in Å follow each position.
Space group P-1 (No. 2)
Symmetry-distinct sites (fractional):
Ba 0.0000 0.0000 0.0000  8 O 2.77-3.09
Ba 0.4759 0.2330 0.5941  7 O 2.71-2.92
Nb 0.2326 0.6189 0.7702  2 O 1.79-1.98
P 0.2051 0.6315 0.1401  4 O 1.52-1.57
P 0.3223 0.1183 0.2793  4 O 1.52-1.57
O 0.0383 0.7552 0.2401  1 P 1.52
O 0.0489 0.1836 0.2164  1 P 1.57
O 0.0639 0.4911 0.1416  1 P 1.55
O 0.2309 0.5734 0.5902  1 Nb 1.79
O 0.2545 0.0595 0.4311  1 P 1.52
O 0.2576 0.6929 0.9865  1 P 1.53
O 0.4683 0.2576 0.2886  1 P 1.57
O 0.4889 0.5711 0.1931  1 P 1.57
O 0.4978 0.9981 0.1778  1 P 1.52

***

[6]
Density functional theory data (SCAN) for BaNbTePO8 at its PBEsol-relaxed geometry.

Computed properties:
Energy (eV/cell): -1600.33
Calculated density (g cm⁻³): 4.93
Formation energy from raw total energies (eV per atom): -2.49

Cell: 6.6904 7.5528 27.5832 Å, 90.00 90.00 90.00°
Closest atoms and distances in Å follow each position.
Space group Pbca (No. 61)
Symmetry-distinct sites (fractional):
Ba 0.0264 0.1489 0.1995  9 O 2.76-3.05
Nb 0.2379 0.0924 0.4354  5 O 1.87-2.06
Te 0.2198 0.6358 0.5735  3 O 1.91-1.95
P 0.0310 0.1835 0.3228  4 O 1.54-1.57
O 0.0326 0.0530 0.0830  1 Te 1.92, 1 Nb 2.06
O 0.0472 0.6678 0.0605  1 Te 1.91, 1 Nb 1.99
O 0.0736 0.5308 0.2038  1 P 1.54
O 0.1345 0.7026 0.6514  1 P 1.57
O 0.1439 0.1996 0.7861  1 P 1.54
O 0.1774 0.6487 0.9302  2 Nb 1.87-2.04
O 0.1879 0.1141 0.3600  1 P 1.56
O 0.2197 0.5937 0.5036  1 Nb 1.90, 1 Te 1.95